(1)
Entry from Alexandria via LeMat-Bulk: an optimized crystal structure of Mg2InRe (PBE).

Unit cell a=2.865 b=4.459 c=5.831 alpha=90.00 beta=96.82 gamma=90.00
Fractional coordinates of all 4 atoms:
1 Mg 0.011 0.000 0.275
2 Mg 0.989 0.000 0.725
3 In 0.500 0.500 0.000
4 Re 0.500 0.500 0.500

## Properties
* symmetry: P2/m (10)
* Fermi-level density of states: 1.66 states/eV/cell
* total magnetization: 0.00 Bohr magnetons per cell
* E_form: 0.31 eV/atom
* volume: 73.95 Å³ per cell
* VASP energy: -4.29 eV/atom



(2)
Entry from Alexandria via LeMat-Bulk: an optimized crystal structure of Mg4InRe (PBE).

Unit cell a=5.462 b=5.462 c=5.462 alpha=60.00 beta=60.00 gamma=60.00
Fractional coordinates of all 6 atoms:
1 Mg 0.124 0.124 0.124
2 Mg 0.124 0.124 0.629
3 Mg 0.124 0.629 0.124
4 Mg 0.629 0.124 0.124
5 In 0.500 0.500 0.500
6 Re 0.750 0.750 0.750

## Properties
* symmetry: F-43m (216)
* Fermi-level density of states: 5.73 states/eV/cell
* total magnetization: 0.00 Bohr magnetons per cell
* E_form: 0.55 eV/atom
* volume: 115.23 Å³ per cell
* VASP energy: -3.04 eV/atom



(3)
Entry from Alexandria via LeMat-Bulk: an optimized crystal structure of MgIn2Re (PBE).

Unit cell a=4.780 b=4.780 c=4.780 alpha=60.00 beta=60.00 gamma=60.00
Fractional coordinates of all 4 atoms:
1 Mg 0.000 0.000 0.000
2 In 0.500 0.500 0.500
3 In 0.750 0.750 0.750
4 Re 0.250 0.250 0.250

## Properties
* symmetry: F-43m (216)
* Fermi-level density of states: 4.23 states/eV/cell
* total magnetization: 0.00 Bohr magnetons per cell
* E_form: 0.63 eV/atom
* volume: 77.24 Å³ per cell
* VASP energy: -4.25 eV/atom



(4)
Entry from Alexandria via LeMat-Bulk: an optimized crystal structure of Mg2InRe (PBE).

Unit cell a=4.701 b=4.701 c=4.701 alpha=60.00 beta=60.00 gamma=60.00
Fractional coordinates of all 4 atoms:
1 Mg 0.000 0.000 0.000
2 Mg 0.250 0.250 0.250
3 In 0.500 0.500 0.500
4 Re 0.750 0.750 0.750

## Properties
* symmetry: F-43m (216)
* Fermi-level density of states: 1.94 states/eV/cell
* total magnetization: 0.00 Bohr magnetons per cell
* E_form: 0.39 eV/atom
* volume: 73.45 Å³ per cell
* VASP energy: -4.20 eV/atom



(5)
Entry from Alexandria via LeMat-Bulk: an optimized crystal structure of MgInRe4 (PBE).

Unit cell a=5.278 b=5.278 c=5.278 alpha=60.00 beta=60.00 gamma=60.00
Fractional coordinates of all 6 atoms:
1 Mg 0.000 0.000 0.000
2 In 0.250 0.250 0.250
3 Re 0.125 0.625 0.625
4 Re 0.625 0.125 0.625
5 Re 0.625 0.625 0.125
6 Re 0.625 0.625 0.625

## Properties
* symmetry: F-43m (216)
* Fermi-level density of states: 3.39 states/eV/cell
* total magnetization: 0.00 Bohr magnetons per cell
* E_form: 0.37 eV/atom
* volume: 103.99 Å³ per cell
* VASP energy: -8.65 eV/atom



(6)
Entry from Alexandria via LeMat-Bulk: an optimized crystal structure of MgIn2Re (PBE).

Unit cell a=2.923 b=5.026 c=5.182 alpha=90.00 beta=90.00 gamma=90.00
Fractional coordinates of all 4 atoms:
1 Mg 0.000 0.000 0.000
2 In 0.500 0.000 0.515
3 In 0.500 0.500 0.188
4 Re 0.000 0.500 0.701

## Properties
* symmetry: Pmm2 (25)
* Fermi-level density of states: 1.42 states/eV/cell
* total magnetization: 0.00 Bohr magnetons per cell
* E_form: 0.37 eV/atom
* volume: 76.13 Å³ per cell
* VASP energy: -4.51 eV/atom



(7)
Entry from Alexandria via LeMat-Bulk: an optimized crystal structure of MgIn2Re (PBE).

Unit cell a=3.569 b=3.569 c=6.029 alpha=90.00 beta=90.00 gamma=90.00
Fractional coordinates of all 4 atoms:
1 Mg 0.000 0.000 0.000
2 In 0.500 0.500 0.262
3 In 0.500 0.500 0.738
4 Re 0.000 0.000 0.500

## Properties
* symmetry: P4/mmm (123)
* Fermi-level density of states: 3.13 states/eV/cell
* total magnetization: 0.00 Bohr magnetons per cell
* E_form: 0.36 eV/atom
* volume: 76.79 Å³ per cell
* VASP energy: -4.52 eV/atom



(8)
Entry from Alexandria via LeMat-Bulk: an optimized crystal structure of Mg2InRe (PBE).

Unit cell a=3.479 b=3.479 c=6.193 alpha=90.00 beta=90.00 gamma=90.00
Fractional coordinates of all 4 atoms:
1 Mg 0.000 0.000 0.000
2 Mg 0.500 0.500 0.269
3 In 0.500 0.500 0.723
4 Re 0.000 0.000 0.490

## Properties
* symmetry: P4mm (99)
* Fermi-level density of states: 2.34 states/eV/cell
* total magnetization: 0.00 Bohr magnetons per cell
* E_form: 0.37 eV/atom
* volume: 74.95 Å³ per cell
* VASP energy: -4.22 eV/atom



(9)
Entry from Alexandria via LeMat-Bulk: an optimized crystal structure of MgIn2Re (PBE).

Unit cell a=2.991 b=4.306 c=5.923 alpha=90.00 beta=90.00 gamma=90.00
Fractional coordinates of all 4 atoms:
1 Mg 0.000 0.000 0.000
2 In 0.500 0.500 0.259
3 In 0.500 0.500 0.741
4 Re 0.000 0.000 0.500

## Properties
* symmetry: Pmmm (47)
* Fermi-level density of states: 2.17 states/eV/cell
* total magnetization: 0.00 Bohr magnetons per cell
* E_form: 0.37 eV/atom
* volume: 76.29 Å³ per cell
* VASP energy: -4.51 eV/atom



(10)
Entry from Alexandria via LeMat-Bulk: an optimized crystal structure of Mg2InRe (PBE).

Unit cell a=2.899 b=2.899 c=9.091 alpha=90.00 beta=90.00 gamma=90.00
Fractional coordinates of all 4 atoms:
1 Mg 0.000 0.000 0.222
2 Mg 0.000 0.000 0.778
3 In 0.500 0.500 0.500
4 Re 0.500 0.500 0.000

## Properties
* symmetry: P4/mmm (123)
* Fermi-level density of states: 3.05 states/eV/cell
* total magnetization: 0.55 Bohr magnetons per cell
* E_form: 0.29 eV/atom
* volume: 76.41 Å³ per cell
* VASP energy: -4.30 eV/atom



(11)
Entry from Alexandria via LeMat-Bulk: an optimized crystal structure of Mg2InRe (PBE).

Unit cell a=6.049 b=6.049 c=6.049 alpha=102.22 beta=102.22 gamma=125.21
Fractional coordinates of all 8 atoms:
1 Mg 0.110 0.625 0.985
2 Mg 0.375 0.360 0.485
3 Mg 0.640 0.125 0.015
4 Mg 0.875 0.890 0.515
5 In 0.250 0.750 0.500
6 In 0.500 0.500 0.000
7 Re 0.000 0.000 0.000
8 Re 0.750 0.250 0.500

## Properties
* symmetry: I-42d (122)
* Fermi-level density of states: 1.80 states/eV/cell
* total magnetization: 0.00 Bohr magnetons per cell
* E_form: 0.72 eV/atom
* volume: 160.55 Å³ per cell
* VASP energy: -3.87 eV/atom



(12)
Entry from Alexandria via LeMat-Bulk: an optimized crystal structure of Mg2InRe (PBE).

Unit cell a=5.355 b=5.355 c=5.355 alpha=135.96 beta=135.96 gamma=64.04
Fractional coordinates of all 4 atoms:
1 Mg 0.250 0.750 0.500
2 Mg 0.750 0.250 0.500
3 In 0.000 0.000 0.000
4 Re 0.500 0.500 0.000

## Properties
* symmetry: I4/mmm (139)
* Fermi-level density of states: 2.11 states/eV/cell
* total magnetization: 0.21 Bohr magnetons per cell
* E_form: 0.34 eV/atom
* volume: 73.22 Å³ per cell
* VASP energy: -4.26 eV/atom